# 1
La3Pr2Ir2 PBE optimized geometry; symmetry = No. 12; VASP energy = -0.47854 Ry per atom
1.0
-1.866 3.542 -0.290
-3.091 -3.517 4.704
7.778 4.327 2.786
La Pr Ir
3 2 2
Direct
0.500 0.000 0.000 La
0.616 0.232 0.426 La
0.384 0.768 0.574 La
0.827 0.654 0.188 Pr
0.173 0.346 0.812 Pr
0.821 0.642 0.753 Ir
0.179 0.358 0.247 Ir



# 2
BaSr2Eu PBE optimized geometry; energy above the most stable polymorph in this dataset = 0.010 eV/atom; symmetry = No. 225
1.0
-4.999 3.380 -2.958
-1.050 -0.652 -6.606
-5.419 -3.287 -2.233
Ba Sr Eu
1 2 1
Direct
0.500 0.500 0.500 Ba
0.750 0.750 0.750 Sr
0.250 0.250 0.250 Sr
0.000 0.000 0.000 Eu



# 3
La4CrOs PBE optimized geometry; symmetry = No. 216; VASP energy = -0.41888 Ry per atom
1.0
0.000 4.360 4.360
4.360 0.000 4.360
4.360 4.360 0.000
La Cr Os
4 1 1
Direct
0.872 0.376 0.376 La
0.376 0.376 0.872 La
0.376 0.872 0.376 La
0.376 0.376 0.376 La
0.000 0.000 0.000 Cr
0.750 0.750 0.750 Os



# 4
ZrZnHg PBE optimized geometry; energy above the most stable polymorph in this dataset = 0.003 eV/atom; symmetry = No. 71
1.0
4.599 -0.001 -0.001
2.298 5.098 0.446
2.298 0.819 5.052
Zr Zn Hg
2 2 2
Direct
0.500 0.249 0.751 Zr
0.500 0.751 0.249 Zr
0.844 0.156 0.156 Zn
0.156 0.844 0.844 Zn
0.176 0.325 0.324 Hg
0.824 0.675 0.676 Hg



# 5
MnGaHOs PBE optimized geometry; energy above the most stable polymorph in this dataset = 0.062 eV/atom; symmetry = No. 44
1.0
-2.341 1.604 0.623
-1.959 -1.423 -3.702
-2.872 -5.621 3.679
Mn Ga H Os
2 2 2 2
Direct
0.000 0.000 0.196 Mn
0.500 0.500 0.696 Mn
0.000 0.500 0.394 Ga
0.500 0.000 0.894 Ga
0.000 0.500 0.954 H
0.500 0.000 0.454 H
0.000 0.000 0.593 Os
0.500 0.500 0.093 Os



# 6
PaVSe3 PBE optimized geometry; raw formation energy = -0.83 eV/atom; symmetry = No. 2
1.0
3.731 0.001 -0.002
-1.863 7.827 0.313
-0.004 -2.722 8.445
Pa V Se
2 2 6
Direct
0.370 0.741 0.648 Pa
0.630 0.259 0.352 Pa
0.196 0.392 0.906 V
0.804 0.608 0.094 V
0.184 0.367 0.612 Se
0.642 0.283 0.035 Se
0.996 0.991 0.249 Se
0.816 0.633 0.388 Se
0.004 0.009 0.751 Se
0.358 0.717 0.965 Se